Here is an optimized crystal structure of SrLi3Sc from Alexandria via LeMat-Bulk. Energies are from PBE.

Results
The calculated formation energy comes out at 0.925 eV/atom. As for the space group: No. 221. The magnetization is 1.25 μB/cell. The excess energy over the best structure of this formula in the dataset comes out at 337 meV per atom. Its crystal system is cubic. For the density of states at the Fermi level, the calculation gives 1.4184 states/eV/atom.

Geometry as CIF:
```
data_SrLi3Sc
_chemical_formula_sum 'Sr1 Li3 Sc1'
_symmetry_space_group_name_H-M 'P 1'
_symmetry_Int_Tables_number 1
_cell_length_a 5.281
_cell_length_b 5.281
_cell_length_c 5.281
_cell_angle_alpha 90.00
_cell_angle_beta 90.00
_cell_angle_gamma 90.00
loop_
_symmetry_equiv_pos_as_xyz
'x,y,z'
loop_
_atom_site_label
_atom_site_type_symbol
_atom_site_fract_x
_atom_site_fract_y
_atom_site_fract_z
_atom_site_occupancy
Sc1 Sc 0.500 0.500 0.500 1
Sr1 Sr 0.000 0.000 0.000 1
Li1 Li 0.000 0.500 0.000 1
Li2 Li 0.000 0.000 0.500 1
Li3 Li 0.500 0.000 0.000 1
```